Computed, not measured: a relaxed structure of SrSn2HI at the PBEsol level of DFT.

Structure (CIF):
```
data_SrSn2HI
_space_group_name_H-M_alt 'P 4/m m m'
_space_group_IT_number 123
_space_group_name_Hall '-P 4 2'
_cell_length_a 6.350
_cell_length_b 6.350
_cell_length_c 4.109
_cell_angle_alpha 90.00
_cell_angle_beta 90.00
_cell_angle_gamma 90.00
loop_
_atom_site_label
_atom_site_fract_x
_atom_site_fract_y
_atom_site_fract_z
Sr1 0.000 0.000 0.000
Sn1 0.000 0.500 0.000
H1 0.000 0.000 0.500
I1 0.500 0.500 0.500
```

## Properties
E_tot	-2.660	eV/atom